one | The following is a GGA-PBE calculation of an optimized crystal structure of TmSiPt3, from the Alexandria database.

## Properties
Space-group type = Pmn2_1, No. 31
DOS at the Fermi energy = 1.68 states/eV/f.u.
Magnetic moment = 0.000 μB per formula unit
Calculated density = 14.28 g/cm³

Lattice parameters (Å, degrees): 5.6414 4.5352 7.1102 90.00 90.00 90.00
Fractional positions:
Tm 0.0000 0.0361 0.0000
Tm 0.5000 0.9639 0.5000
Si 0.0000 0.6453 0.5233
Si 0.5000 0.3547 0.0233
Pt 0.0000 0.1234 0.4112
Pt 0.2432 0.6040 0.2269
Pt 0.2568 0.3960 0.7269
Pt 0.5000 0.8766 0.9112
Pt 0.7432 0.3960 0.7269
Pt 0.7568 0.6040 0.2269

=====

two | The following is a GGA-PBE calculation of an optimized crystal structure of TmSiPt3, from the Alexandria database.

## Properties
Space-group type = Pbam, No. 55
DOS at the Fermi energy = 1.37 states/eV/f.u.
Magnetic moment = 0.000 μB per formula unit
Calculated density = 13.74 g/cm³

Lattice parameters (Å, degrees): 5.6589 6.7254 4.9699 90.00 90.00 90.00
Fractional positions:
Tm 0.0000 0.0000 0.0000
Tm 0.5000 0.5000 0.0000
Si 0.0000 0.5000 0.5000
Si 0.5000 0.0000 0.5000
Pt 0.0000 0.5000 0.0000
Pt 0.1380 0.1729 0.5000
Pt 0.3620 0.6729 0.5000
Pt 0.5000 0.0000 0.0000
Pt 0.6380 0.3271 0.5000
Pt 0.8620 0.8271 0.5000

=====

Most stable structure, least stable structure: one, two.

=====

one | The following is a GGA-PBE calculation of an optimized crystal structure of USiPt3, from the Alexandria database.

## Properties
Space-group type = C2/c, No. 15
DOS at the Fermi energy = 7.50 states/eV/f.u.
Magnetic moment = 2.006 μB per formula unit
Calculated density = 15.42 g/cm³

Lattice parameters (Å, degrees): 6.5268 6.5268 10.3381 100.17 100.17 58.23
Fractional positions:
U 0.0383 0.7448 0.8989
U 0.2552 0.9617 0.6011
U 0.7448 0.0383 0.3989
U 0.9617 0.2552 0.1011
Si 0.0000 0.5000 0.5000
Si 0.2159 0.7841 0.2500
Si 0.5000 0.0000 0.0000
Si 0.7841 0.2159 0.7500
Pt 0.1326 0.2460 0.8560
Pt 0.2460 0.1326 0.3560
Pt 0.2800 0.5626 0.4278
Pt 0.3185 0.4166 0.6804
Pt 0.4166 0.3185 0.1804
Pt 0.4374 0.7200 0.0722
Pt 0.5626 0.2800 0.9278
Pt 0.5834 0.6815 0.8196
Pt 0.6815 0.5834 0.3196
Pt 0.7200 0.4374 0.5722
Pt 0.7540 0.8674 0.6440
Pt 0.8674 0.7540 0.1440

=====

two | The following is a GGA-PBE calculation of an optimized crystal structure of USiPt3, from the Alexandria database.

## Properties
Space-group type = I4mm, No. 107
DOS at the Fermi energy = 8.31 states/eV/f.u.
Magnetic moment = 2.153 μB per formula unit
Calculated density = 15.83 g/cm³

Lattice parameters (Å, degrees): 6.2616 6.2616 6.2616 142.76 142.76 53.69
Fractional positions:
U 0.0000 0.0000 0.0000
Si 0.3701 0.3701 0.0000
Pt 0.2517 0.7517 0.5000
Pt 0.5770 0.5770 0.0000
Pt 0.7517 0.2517 0.5000

=====

Most stable structure, least stable structure: two, one.

=====

one | The following is a GGA-PBE calculation of an optimized crystal structure of V2Si2Pt, from the Alexandria database.

## Properties
Space-group type = P4/mbm, No. 127
DOS at the Fermi energy = 3.51 states/eV/f.u.
Magnetic moment = 0.001 μB per formula unit
Calculated density = 8.59 g/cm³

Lattice parameters (Å, degrees): 6.2362 6.2362 3.5109 90.00 90.00 90.00
Fractional positions:
V 0.1672 0.3328 0.0000
V 0.3328 0.8328 0.0000
V 0.6672 0.1672 0.0000
V 0.8328 0.6672 0.0000
Si 0.1310 0.6310 0.5000
Si 0.3690 0.1310 0.5000
Si 0.6310 0.8690 0.5000
Si 0.8690 0.3690 0.5000
Pt 0.0000 0.0000 0.5000
Pt 0.5000 0.5000 0.5000

=====

two | The following is a GGA-PBE calculation of an optimized crystal structure of V2Si2Pt, from the Alexandria database.

## Properties
Space-group type = I4/mmm, No. 139
DOS at the Fermi energy = 7.84 states/eV/f.u.
Magnetic moment = 0.005 μB per formula unit
Calculated density = 7.95 g/cm³

Lattice parameters (Å, degrees): 6.1036 6.1036 6.1036 145.18 145.18 50.07
Fractional positions:
V 0.2500 0.7500 0.5000
V 0.7500 0.2500 0.5000
Si 0.0990 0.0990 0.0000
Si 0.9010 0.9010 0.0000
Pt 0.5000 0.5000 0.0000

=====

Most stable structure, least stable structure: one, two.

=====

one | The following is a GGA-PBE calculation of an optimized crystal structure of SiPtW3, from the Alexandria database.

## Properties
Space-group type = Pm-3m, No. 221
DOS at the Fermi energy = 7.35 states/eV/f.u.
Magnetic moment = 0.000 μB per formula unit
Calculated density = 11.77 g/cm³

Lattice parameters (Å, degrees): 4.7805 4.7805 4.7805 90.00 90.00 90.00
Fractional positions:
Si 0.0000 0.0000 0.0000
Pt 0.5000 0.5000 0.5000
W 0.0000 0.5000 0.5000
W 0.5000 0.0000 0.5000
W 0.5000 0.5000 0.0000

=====

two | The following is a GGA-PBE calculation of an optimized crystal structure of SiPtW3, from the Alexandria database.

## Properties
Space-group type = Pm-3m, No. 221
DOS at the Fermi energy = 4.28 states/eV/f.u.
Magnetic moment = 0.000 μB per formula unit
Calculated density = 14.64 g/cm³

Lattice parameters (Å, degrees): 4.4458 4.4458 4.4458 90.00 90.00 90.00
Fractional positions:
Si 0.0000 0.0000 0.0000
Pt 0.5000 0.5000 0.5000
W 0.0000 0.0000 0.5000
W 0.0000 0.5000 0.0000
W 0.5000 0.0000 0.0000

=====

Most stable structure, least stable structure: two, one.

=====

one | The following is a GGA-PBE calculation of an optimized crystal structure of Si2Pt2W, from the Alexandria database.

## Properties
Space-group type = I4/mmm, No. 139
DOS at the Fermi energy = 4.34 states/eV/f.u.
Magnetic moment = 0.001 μB per formula unit
Calculated density = 13.64 g/cm³

Lattice parameters (Å, degrees): 5.9566 5.9566 5.9566 142.82 142.82 53.60
Fractional positions:
Si 0.1060 0.1060 0.0000
Si 0.8940 0.8940 0.0000
Pt 0.2500 0.7500 0.5000
Pt 0.7500 0.2500 0.5000
W 0.5000 0.5000 0.0000

=====

two | The following is a GGA-PBE calculation of an optimized crystal structure of Si2Pt2W, from the Alexandria database.

## Properties
Space-group type = P4/mbm, No. 127
DOS at the Fermi energy = 2.97 states/eV/f.u.
Magnetic moment = 0.000 μB per formula unit
Calculated density = 14.05 g/cm³

Lattice parameters (Å, degrees): 7.3310 7.3310 2.7716 90.00 90.00 90.00
Fractional positions:
Si 0.1697 0.3303 0.0000
Si 0.3303 0.8303 0.0000
Si 0.6697 0.1697 0.0000
Si 0.8303 0.6697 0.0000
Pt 0.1334 0.6334 0.5000
Pt 0.3666 0.1334 0.5000
Pt 0.6334 0.8666 0.5000
Pt 0.8666 0.3666 0.5000
W 0.0000 0.0000 0.5000
W 0.5000 0.5000 0.5000

=====

Most stable structure, least stable structure: two, one.

=====

one | The following is a GGA-PBE calculation of an optimized crystal structure of YSiPt3, from the Alexandria database.

## Properties
Space-group type = Pbam, No. 55
DOS at the Fermi energy = 1.37 states/eV/f.u.
Magnetic moment = 0.000 μB per formula unit
Calculated density = 12.12 g/cm³

Lattice parameters (Å, degrees): 5.7225 6.6863 5.0289 90.00 90.00 90.00
Fractional positions:
Y 0.0000 0.0000 0.0000
Y 0.5000 0.5000 0.0000
Si 0.0000 0.5000 0.5000
Si 0.5000 0.0000 0.5000
Pt 0.0000 0.5000 0.0000
Pt 0.1411 0.1725 0.5000
Pt 0.3589 0.6725 0.5000
Pt 0.5000 0.0000 0.0000
Pt 0.6411 0.3275 0.5000
Pt 0.8589 0.8275 0.5000

=====

two | The following is a GGA-PBE calculation of an optimized crystal structure of YSiPt3, from the Alexandria database.

## Properties
Space-group type = Pm-3m, No. 221
DOS at the Fermi energy = 2.77 states/eV/f.u.
Magnetic moment = 0.000 μB per formula unit
Calculated density = 11.92 g/cm³

Lattice parameters (Å, degrees): 4.6077 4.6077 4.6077 90.00 90.00 90.00
Fractional positions:
Y 0.0000 0.0000 0.0000
Si 0.5000 0.5000 0.5000
Pt 0.0000 0.5000 0.5000
Pt 0.5000 0.0000 0.5000
Pt 0.5000 0.5000 0.0000

=====

Most stable structure, least stable structure: one, two.